Below is a geometry-optimized PmDy2ErTh structure, with properties calculated at the PBE-GGA level.

As for the density of states at the Fermi level: 7.7 states/eV/f.u. The value obtained for the formation energy is 2.20 eV/f.u.

```
data_PmDy2ErTh
_symmetry_space_group_name_H-M 'P 1'
_symmetry_Int_Tables_number 1
_cell_length_a 6.917
_cell_length_b 8.566
_cell_length_c 7.310
_cell_angle_alpha 125.87
_cell_angle_beta 90.00
_cell_angle_gamma 90.00
loop_
_symmetry_equiv_pos_as_xyz
'x,y,z'
loop_
_atom_site_label
_atom_site_type_symbol
_atom_site_fract_x
_atom_site_fract_y
_atom_site_fract_z
Pm1 Pm 0.750 0.268 0.537
Pm2 Pm 0.250 0.732 0.463
Dy1 Dy 0.000 0.317 0.000
Dy2 Dy 0.500 0.683 0.000
Dy3 Dy 0.500 0.317 0.000
Dy4 Dy 0.000 0.683 0.000
Er1 Er 0.250 0.277 0.553
Er2 Er 0.750 0.723 0.447
Th1 Th 0.250 0.002 0.003
Th2 Th 0.750 0.998 0.997
```